No. 1
Compound: SrBeAs2Br
Source: Alexandria via LeMat-Bulk
Functional: PBE
Structure: optimized geometry

Cell: 4.4176 4.4176 6.2661 Å, 90.00 90.00 90.00°
With the nearest neighbours (Å) after each atom.
Sites, in units of the cell vectors:
1 Sr 0.0000 0.0000 0.0000  4 Br 3.12
2 Be 0.5000 0.5000 0.5000  4 As 2.21
3 As 0.0000 0.5000 0.5000  2 Be 2.21
4 As 0.5000 0.0000 0.5000  2 Be 2.21
5 Br 0.5000 0.5000 0.0000  4 Sr 3.12, 2 Be 3.13

Calculated values
Density of states at the Fermi level in states/eV per atom: 0.427
Uncorrected energy in eV per atom: -3.7677
Formation energy (no corrections) in eV per atom: -0.49
Size of the total moment in μB/atom: 0.00



No. 2
Compound: Pm3Ge5Se12
Source: Alexandria via LeMat-Bulk
Functional: PBE
Structure: optimized geometry

Cell: 14.0794 14.0794 14.0794 Å, 109.47 109.47 109.47°
With the nearest neighbours (Å) after each atom.
Sites, in units of the cell vectors:
1 Pm 0.1250 0.2500 0.3750  8 Se 3.07-3.12
2 Pm 0.1250 0.3750 0.7500  8 Se 3.07-3.12
3 Pm 0.2500 0.3750 0.1250  8 Se 3.07-3.12
4 Pm 0.2500 0.8750 0.6250  8 Se 3.07-3.12
5 Pm 0.3750 0.1250 0.2500  8 Se 3.07-3.12
6 Pm 0.3750 0.7500 0.1250  8 Se 3.07-3.12
7 Pm 0.6250 0.2500 0.8750  8 Se 3.07-3.12
8 Pm 0.6250 0.8750 0.7500  8 Se 3.07-3.12
9 Pm 0.7500 0.1250 0.3750  8 Se 3.07-3.12
10 Pm 0.7500 0.6250 0.8750  8 Se 3.07-3.12
11 Pm 0.8750 0.6250 0.2500  8 Se 3.07-3.12
12 Pm 0.8750 0.7500 0.6250  8 Se 3.07-3.12
13 Ge 0.0000 0.0000 0.0000  6 Se 2.73
14 Ge 0.0000 0.0000 0.5000  6 Se 2.73
15 Ge 0.0000 0.5000 0.0000  6 Se 2.73
16 Ge 0.0000 0.5000 0.5000  6 Se 2.73
17 Ge 0.1250 0.7500 0.8750  4 Se 2.46
18 Ge 0.1250 0.8750 0.2500  4 Se 2.46
19 Ge 0.2500 0.1250 0.8750  4 Se 2.46
20 Ge 0.2500 0.6250 0.3750  4 Se 2.46
21 Ge 0.3750 0.2500 0.6250  4 Se 2.46
22 Ge 0.3750 0.6250 0.7500  4 Se 2.46
23 Ge 0.5000 0.0000 0.0000  6 Se 2.73
24 Ge 0.5000 0.0000 0.5000  6 Se 2.73
25 Ge 0.5000 0.5000 0.0000  6 Se 2.73
26 Ge 0.5000 0.5000 0.5000  6 Se 2.73
27 Ge 0.6250 0.3750 0.2500  4 Se 2.46
28 Ge 0.6250 0.7500 0.3750  4 Se 2.46
29 Ge 0.7500 0.3750 0.6250  4 Se 2.46
30 Ge 0.7500 0.8750 0.1250  4 Se 2.46
31 Ge 0.8750 0.1250 0.7500  4 Se 2.46
32 Ge 0.8750 0.2500 0.1250  4 Se 2.46
33 Se 0.0360 0.2158 0.1282  2 Ge 2.46-2.73
34 Se 0.0360 0.3202 0.9078  2 Ge 2.46-2.73
35 Se 0.0876 0.7158 0.6798  2 Ge 2.46-2.73
36 Se 0.0876 0.8718 0.4078  2 Ge 2.46-2.73
37 Se 0.0922 0.6282 0.4124  2 Ge 2.46-2.73
38 Se 0.0922 0.9640 0.6798  2 Ge 2.46-2.73
39 Se 0.1282 0.0360 0.2158  2 Ge 2.46-2.73
40 Se 0.1282 0.5922 0.9124  2 Ge 2.46-2.73
41 Se 0.1798 0.2158 0.5876  2 Ge 2.46-2.73
42 Se 0.1798 0.4640 0.5922  2 Ge 2.46-2.73
43 Se 0.2158 0.1282 0.0360  2 Ge 2.46-2.73
44 Se 0.2158 0.5876 0.1798  2 Ge 2.46-2.73
45 Se 0.2842 0.3202 0.9124  2 Ge 2.46-2.73
46 Se 0.2842 0.4640 0.3718  2 Ge 2.46-2.73
47 Se 0.3202 0.9078 0.0360  2 Ge 2.46-2.73
48 Se 0.3202 0.9124 0.2842  2 Ge 2.46-2.73
49 Se 0.3718 0.2842 0.4640  2 Ge 2.46-2.73
50 Se 0.3718 0.5876 0.9078  2 Ge 2.46-2.73
51 Se 0.4078 0.0876 0.8718  2 Ge 2.46-2.73
52 Se 0.4078 0.8202 0.5360  2 Ge 2.46-2.73
53 Se 0.4124 0.0922 0.6282  2 Ge 2.46-2.73
54 Se 0.4124 0.8202 0.7842  2 Ge 2.46-2.73
55 Se 0.4640 0.3718 0.2842  2 Ge 2.46-2.73
56 Se 0.4640 0.5922 0.1798  2 Ge 2.46-2.73
57 Se 0.5360 0.4078 0.8202  2 Ge 2.46-2.73
58 Se 0.5360 0.6282 0.7158  2 Ge 2.46-2.73
59 Se 0.5876 0.1798 0.2158  2 Ge 2.46-2.73
60 Se 0.5876 0.9078 0.3718  2 Ge 2.46-2.73
61 Se 0.5922 0.1798 0.4640  2 Ge 2.46-2.73
62 Se 0.5922 0.9124 0.1282  2 Ge 2.46-2.73
63 Se 0.6282 0.4124 0.0922  2 Ge 2.46-2.73
64 Se 0.6282 0.7158 0.5360  2 Ge 2.46-2.73
65 Se 0.6798 0.0876 0.7158  2 Ge 2.46-2.73
66 Se 0.6798 0.0922 0.9640  2 Ge 2.46-2.73
67 Se 0.7158 0.5360 0.6282  2 Ge 2.46-2.73
68 Se 0.7158 0.6798 0.0876  2 Ge 2.46-2.73
69 Se 0.7842 0.4124 0.8202  2 Ge 2.46-2.73
70 Se 0.7842 0.8718 0.9640  2 Ge 2.46-2.73
71 Se 0.8202 0.5360 0.4078  2 Ge 2.46-2.73
72 Se 0.8202 0.7842 0.4124  2 Ge 2.46-2.73
73 Se 0.8718 0.4078 0.0876  2 Ge 2.46-2.73
74 Se 0.8718 0.9640 0.7842  2 Ge 2.46-2.73
75 Se 0.9078 0.0360 0.3202  2 Ge 2.46-2.73
76 Se 0.9078 0.3718 0.5876  2 Ge 2.46-2.73
77 Se 0.9124 0.1282 0.5922  2 Ge 2.46-2.73
78 Se 0.9124 0.2842 0.3202  2 Ge 2.46-2.73
79 Se 0.9640 0.6798 0.0922  2 Ge 2.46-2.73
80 Se 0.9640 0.7842 0.8718  2 Ge 2.46-2.73

Calculated values
Density of states at the Fermi level in states/eV per atom: 0.186
Uncorrected energy in eV per atom: -4.7710
Formation energy (no corrections) in eV per atom: -0.81
Size of the total moment in μB/atom: 0.00



No. 3
Compound: DyTm3Th2Bi6
Source: Alexandria via LeMat-Bulk
Functional: PBE
Structure: optimized geometry

Cell: 10.0436 10.0436 8.9795 Å, 102.74 102.74 25.92°
With the nearest neighbours (Å) after each atom.
Sites, in units of the cell vectors:
1 Dy 0.0000 0.0000 0.0000  6 Bi 3.18-3.20
2 Tm 0.0000 0.0000 0.5000  6 Bi 3.13-3.17
3 Tm 0.3327 0.3327 0.1659  6 Bi 3.12-3.16
4 Tm 0.6673 0.6673 0.8341  6 Bi 3.12-3.16
5 Th 0.3350 0.3350 0.6688  6 Bi 3.22-3.26
6 Th 0.6650 0.6650 0.3312  6 Bi 3.22-3.26
7 Bi 0.1642 0.1642 0.5906  3 Tm 3.13, 3 Th 3.24-3.26
8 Bi 0.1669 0.1669 0.0744  3 Tm 3.12-3.16, 1 Dy 3.18, 2 Th 3.23
9 Bi 0.4964 0.4964 0.2505  3 Tm 3.12-3.17, 2 Dy 3.20, 1 Th 3.22
10 Bi 0.5036 0.5036 0.7495  3 Tm 3.12-3.17, 2 Dy 3.20, 1 Th 3.22
11 Bi 0.8331 0.8331 0.9256  3 Tm 3.12-3.16, 1 Dy 3.18, 2 Th 3.23
12 Bi 0.8358 0.8358 0.4094  3 Tm 3.13, 3 Th 3.24-3.26

Calculated values
Density of states at the Fermi level in states/eV per atom: 0.404
Formation energy in meV per atom: -720.3
Uncorrected energy in eV per atom: -5.3988
Size of the total moment in μB/atom: 0.00



No. 4
Compound: Pu2Ag5Au12
Source: Alexandria via LeMat-Bulk
Functional: PBE
Structure: optimized geometry

Cell: 7.3238 7.3238 7.3238 Å, 81.69 81.69 81.69°
With the nearest neighbours (Å) after each atom.
Sites, in units of the cell vectors:
1 Pu 0.1501 0.1501 0.1501  15 Au 3.34-3.70, 1 Ag 3.63
2 Pu 0.8499 0.8499 0.8499  15 Au 3.34-3.70, 1 Ag 3.63
3 Ag 0.0000 0.5000 0.5000  8 Au 2.79-2.82, 2 Ag 2.94
4 Ag 0.4018 0.4018 0.4018  4 Ag 2.83-2.94, 3 Au 3.05
5 Ag 0.5000 0.0000 0.5000  8 Au 2.79-2.82, 2 Ag 2.94
6 Ag 0.5000 0.5000 0.0000  8 Au 2.79-2.82, 2 Ag 2.94
7 Ag 0.5982 0.5982 0.5982  4 Ag 2.83-2.94, 3 Au 3.05
8 Au 0.1492 0.1492 0.6551  6 Au 2.77-3.02, 3 Ag 2.79-3.05
9 Au 0.1492 0.6551 0.1492  6 Au 2.77-3.02, 3 Ag 2.79-3.05
10 Au 0.1935 0.5000 0.8065  2 Ag 2.82, 6 Au 2.86-3.02
11 Au 0.1935 0.8065 0.5000  2 Ag 2.82, 6 Au 2.86-3.02
12 Au 0.3449 0.8508 0.8508  6 Au 2.77-3.02, 3 Ag 2.79-3.05
13 Au 0.5000 0.1935 0.8065  2 Ag 2.82, 6 Au 2.86-3.02
14 Au 0.5000 0.8065 0.1935  2 Ag 2.82, 6 Au 2.86-3.02
15 Au 0.6551 0.1492 0.1492  6 Au 2.77-3.02, 3 Ag 2.79-3.05
16 Au 0.8065 0.1935 0.5000  2 Ag 2.82, 6 Au 2.86-3.02
17 Au 0.8065 0.5000 0.1935  2 Ag 2.82, 6 Au 2.86-3.02
18 Au 0.8508 0.3449 0.8508  6 Au 2.77-3.02, 3 Ag 2.79-3.05
19 Au 0.8508 0.8508 0.3449  6 Au 2.77-3.02, 3 Ag 2.79-3.05

Calculated values
Density of states at the Fermi level in states/eV per atom: 2.238
Formation energy in meV per atom: -129.1
Uncorrected energy in eV per atom: -4.4579
Size of the total moment in μB/atom: 0.60